This record from the Alexandria database describes KRb2Na12Hg3 after structural relaxation. The functional is PBE.

Cell: 8.969 8.969 8.969 Å, 85.51 85.51 85.51°
Atoms (fractional coordinates):
1 Na 0.644 0.644 0.057
2 Na 0.315 0.813 0.813
3 K 0.000 0.000 0.000
4 Na 0.685 0.187 0.187
5 Hg 0.500 0.000 0.000
6 Na 0.187 0.685 0.187
7 Na 0.187 0.187 0.685
8 Hg 0.000 0.500 0.000
9 Na 0.356 0.943 0.356
10 Na 0.943 0.356 0.356
11 Na 0.813 0.813 0.315
12 Na 0.356 0.356 0.943
13 Rb 0.619 0.619 0.619
14 Na 0.813 0.315 0.813
15 Rb 0.381 0.381 0.381
16 Na 0.057 0.644 0.644
17 Na 0.644 0.057 0.644
18 Hg 0.000 0.000 0.500

---

This record from the Alexandria database describes K2Rb5NaHg2 after structural relaxation. The functional is PBE.

Cell: 5.065 15.620 15.620 Å, 90.00 90.00 90.00°
Atoms (fractional coordinates):
1 Na 0.000 0.500 0.500
2 K 0.000 0.683 0.183
3 K 0.000 0.317 0.817
4 Hg 0.000 0.369 0.131
5 Hg 0.000 0.631 0.869
6 Na 0.000 0.000 0.000
7 Rb 0.500 0.792 0.940
8 Hg 0.000 0.131 0.631
9 Rb 0.500 0.292 0.560
10 K 0.000 0.817 0.683
11 Rb 0.500 0.940 0.208
12 Rb 0.500 0.000 0.500
13 Rb 0.500 0.440 0.292
14 Hg 0.000 0.869 0.369
15 Rb 0.500 0.060 0.792
16 K 0.000 0.183 0.317
17 Rb 0.500 0.560 0.708
18 Rb 0.500 0.500 0.000
19 Rb 0.500 0.208 0.060
20 Rb 0.500 0.708 0.440

---

This record from the Alexandria database describes K5Rb2Na2Hg after structural relaxation. The functional is PBE.

Cell: 4.763 15.930 15.930 Å, 90.00 90.00 90.00°
Atoms (fractional coordinates):
1 K 0.500 0.000 0.500
2 Na 0.000 0.138 0.638
3 K 0.500 0.550 0.678
4 K 0.500 0.822 0.950
5 K 0.500 0.678 0.450
6 Hg 0.000 0.500 0.500
7 Na 0.000 0.862 0.362
8 Rb 0.000 0.176 0.324
9 Rb 0.000 0.324 0.824
10 Na 0.000 0.362 0.138
11 Rb 0.000 0.824 0.676
12 K 0.500 0.500 0.000
13 K 0.500 0.950 0.178
14 Rb 0.000 0.676 0.176
15 Hg 0.000 0.000 0.000
16 K 0.500 0.050 0.822
17 K 0.500 0.450 0.322
18 K 0.500 0.178 0.050
19 Na 0.000 0.638 0.862
20 K 0.500 0.322 0.550

---

Asked for DFT formation energy across the records above, the calculation gives 0.003, -0.075, -0.021 eV per atom in order.
Asked for size of the total moment across the records above, the calculation gives 0.00, 0.00, 0.00 μB/atom in order.